one | The following is a GGA-PBE calculation of crystalline Dy8Er2Tm at its relaxed geometry, from Alexandria.

The space group is P-1 (No. 2) and the conventional cell measures 6.0924, 6.1001 and 9.3292 Å, with angles of 89.92, 83.68 and 80.29 degrees. Symmetry generates all atoms from Dy at (0.0459, 0.4088, 0.3185), Dy at (0.1360, 0.2272, 0.9548), Dy at (0.2278, 0.0452, 0.5908), Dy at (0.4093, 0.6816, 0.8634), Er at (0.3179, 0.8634, 0.2280) and Tm at (0.5000, 0.5000, 0.5000).

The calculation puts the volume at 30.9 A^3/atom. The value obtained for the magnetic moment is 0.00 μB/f.u. The density of states at the Fermi level is 15.72 states/eV/f.u.


two | The following is a GGA-PBE calculation of crystalline Dy8Er2Tm at its relaxed geometry, from Alexandria.

The space group is C2/m (No. 12) and the conventional cell measures 16.3689, 6.5886 and 6.5758 Å, with angles of 90.00, 100.48 and 90.00 degrees. Symmetry generates all atoms from Dy at (0.0878, 0.2379, 0.4031), Dy at (0.0902, 0.0000, 0.9068), Dy at (0.2440, 0.5000, 0.3138), Er at (0.2002, 0.5000, 0.8019) and Tm at (0.0000, 0.5000, 0.0000).

The calculation puts the volume at 31.7 A^3/atom. The value obtained for the magnetic moment is 0.00 μB/f.u. The density of states at the Fermi level is 17.24 states/eV/f.u.


What should be chosen as the most stable of them? Choose one.


one | The following is a GGA-PBE calculation of crystalline Dy3Er8Tm2 at its relaxed geometry, from Alexandria.

The space group is C2/m (No. 12) and the conventional cell measures 19.8967, 7.5449 and 5.5413 Å, with angles of 90.00, 90.03 and 90.00 degrees. Symmetry generates all atoms from Dy at (0.0000, 0.0000, 0.0000), Dy at (0.0000, 0.2857, 0.5000), Er at (0.1092, 0.2887, 0.0003), Er at (0.1336, 0.0000, 0.4998), Er at (0.1690, 0.5000, 0.5007) and Tm at (0.2412, 0.0000, 0.9992).

The calculation puts the volume at 32.0 A^3/atom. The value obtained for the magnetic moment is 0.00 μB/f.u. The density of states at the Fermi level is 21.58 states/eV/f.u.


two | The following is a GGA-PBE calculation of crystalline Dy3Er8Tm2 at its relaxed geometry, from Alexandria.

The space group is P-1 (No. 2) and the conventional cell measures 4.9511, 7.8428 and 10.5021 Å, with angles of 94.21, 103.62 and 90.09 degrees. Symmetry generates all atoms from Dy at (0.0000, 0.0000, 0.0000), Dy at (0.4615, 0.6925, 0.9229), Er at (0.0773, 0.6152, 0.1548), Er at (0.1544, 0.2307, 0.3091), Er at (0.3076, 0.4615, 0.6148), Er at (0.3840, 0.0771, 0.7678) and Tm at (0.2309, 0.8462, 0.4618).

The calculation puts the volume at 30.4 A^3/atom. The value obtained for the magnetic moment is 0.00 μB/f.u. The density of states at the Fermi level is 17.33 states/eV/f.u.


What should be chosen as the most stable of them? Choose two.